# 1
First-principles (PBE) data for BaLiCl2 after structural relaxation, as listed in the Alexandria database.

POSCAR file:
```
BaLiCl2
1.0
-1.046 0.094 -4.188
3.987 -2.213 -1.046
-1.153 -5.842 0.157
Cl Ba Li
2 1 1
direct
0.500 0.393 0.394
0.000 0.177 0.954
0.500 0.731 0.805
0.000 0.199 0.347
```

Values from the calculation:
Space group   Pm
Energy relative to the elements, uncorrected   -1726 meV per atom
D(E_F)   0.286 states/eV per atom
Offset from the most stable computed form   0.00 eV per formula unit
Raw total energy   -14.435 eV/cell


# 2
First-principles (PBE) data for AcTh2Al6 after structural relaxation, as listed in the Alexandria database.

POSCAR file:
```
AcTh2Al6
1.0
4.338 0.000 0.000
0.000 6.667 -3.849
0.000 0.000 7.698
Th Al Ac
2 6 1
direct
0.000 0.667 0.333
0.000 0.333 0.667
0.500 0.337 0.337
0.500 0.663 0.663
0.500 0.337 0.000
0.500 0.000 0.663
0.500 0.663 0.000
0.500 0.000 0.337
0.000 0.000 0.000
```

Values from the calculation:
E_form   -0.415 eV per atom
Space group   P6/mmm
D(E_F)   0.266 states/eV per atom
Raw total energy   -45.139 eV/cell


# 3
First-principles (PBE) data for NaZrAl after structural relaxation, as listed in the Alexandria database.

POSCAR file:
```
NaZrAl
1.0
-6.853 -4.520 14.196
-2.238 -4.865 5.602
4.928 3.751 -4.658
Zr Al Na
2 2 2
direct
0.543 0.608 0.392
0.707 0.778 0.222
0.009 0.643 0.357
0.690 0.123 0.877
0.208 0.783 0.217
0.181 0.135 0.865
```

Values from the calculation:
E_form   0.147 eV per atom
Space group   Cm
D(E_F)   0.142 states/eV per atom
Offset from the most stable computed form   0.71 eV per formula unit
Raw total energy   -26.335 eV/cell


# 4
First-principles (PBE) data for BaLi2Au2 after structural relaxation, as listed in the Alexandria database.

POSCAR file:
```
BaLi2Au2
1.0
-1.979 -1.271 -7.682
-1.099 -7.801 1.574
-3.240 0.605 0.735
Ba Li Au
2 4 4
direct
0.000 0.000 0.000
0.500 0.500 0.000
0.885 0.615 0.000
0.615 0.115 0.000
0.385 0.885 0.000
0.115 0.385 0.000
0.665 0.835 0.500
0.835 0.335 0.500
0.335 0.165 0.500
0.165 0.665 0.500
```

Values from the calculation:
E_form   -0.442 eV per atom
Space group   P4/mbm
D(E_F)   0.436 states/eV per atom
Offset from the most stable computed form   0.65 eV per formula unit
Raw total energy   -29.028 eV/cell


# 5
First-principles (PBE) data for SrTlAsBr2 after structural relaxation, as listed in the Alexandria database.

POSCAR file:
```
SrTlAsBr2
1.0
-3.191 2.993 -4.003
-3.523 -4.716 -0.718
-3.724 2.091 4.533
Br As Sr Tl
2 1 1 1
direct
0.500 0.000 0.000
0.000 0.500 0.000
0.000 0.000 0.500
0.000 0.000 0.000
0.500 0.500 0.500
```

Values from the calculation:
Space group   P4/mmm
Energy relative to the elements, uncorrected   -685 meV per atom
D(E_F)   0.472 states/eV per atom
Offset from the most stable computed form   0.00 eV per formula unit
Raw total energy   -15.468 eV/cell


# 6
First-principles (PBE) data for Na3Cd3In after structural relaxation, as listed in the Alexandria database.

POSCAR file:
```
Na3Cd3In
1.0
7.378 0.524 3.909
2.582 6.931 3.909
0.701 0.524 8.320
In Cd Na
2 6 6
direct
0.652 0.652 0.652
0.348 0.348 0.348
0.813 0.082 0.275
0.187 0.918 0.725
0.725 0.187 0.918
0.918 0.725 0.187
0.275 0.813 0.082
0.082 0.275 0.813
0.722 0.559 0.070
0.278 0.441 0.930
0.441 0.930 0.278
0.559 0.070 0.722
0.930 0.278 0.441
0.070 0.722 0.559
```

Values from the calculation:
E_form   -0.049 eV per atom
Space group   R-3
D(E_F)   0.254 states/eV per atom
Offset from the most stable computed form   0.20 eV per formula unit
Raw total energy   -19.566 eV/cell


- Look up the D(E_F) of the second one.
  0.266 states/eV per atom